Density functional theory data (meta-GGA SCAN) for LaBeNi2 at its PBEsol-relaxed geometry.

a b c (Å): 4.446 4.446 4.446
angles (deg): 60.00 60.00 60.00
Fractional coordinates of all 4 atoms:
La  0.000  0.000  0.000
Be  0.750  0.750  0.750
Ni  0.250  0.250  0.250
Ni  0.500  0.500  0.500

* calculated density: 7.09 Mg/m³
* DFT total energy: -19.61 eV/atom
* size of the total moment: 0.002 Bohr magnetons per cell
* energy relative to the elements: 1.4 eV per formula unit